The following is a DFT calculation (PBE) of a relaxed VTeAuI2 crystal.

Output
The value obtained for the density is 6.919 g/cm3. The calculation puts the calculated total energy at -3.289 eV per atom. The formation energy without anion corrections comes out at 0.439 eV/atom. The value obtained for the density of states at the Fermi level is 5.11 states/eV/cell. For the energy relative to the lowest polymorph listed for this composition, the calculation gives 0 meV per atom.

abc: 5.434 5.434 5.115
angles: 90.00 90.00 90.00
Space group P4/mmm (No. 123)
Unique sites:
V: 0.000 0.000 0.000
Te: 0.000 0.000 0.500
Au: 0.500 0.500 0.500
I: 0.000 0.500 0.000

***

The following is a DFT calculation (PBE) of a relaxed VTeAuI2 crystal.

Output
The value obtained for the density is 6.028 g/cm3. The calculation puts the calculated total energy at -3.015 eV per atom. The formation energy without anion corrections comes out at 0.713 eV/atom. The value obtained for the density of states at the Fermi level is 2.83 states/eV/cell. For the energy relative to the lowest polymorph listed for this composition, the calculation gives 274 meV per atom.

abc: 5.507 5.507 5.715
angles: 90.00 90.00 90.00
Space group P4/mmm (No. 123)
Unique sites:
V: 0.000 0.000 0.000
Te: 0.500 0.500 0.000
Au: 0.500 0.500 0.500
I: 0.000 0.500 0.500

***

The following is a DFT calculation (PBE) of a relaxed VTe2AuI crystal.

Output
The value obtained for the density is 6.370 g/cm3. The calculation puts the calculated total energy at -3.005 eV per atom. The formation energy without anion corrections comes out at 1.041 eV/atom. The value obtained for the density of states at the Fermi level is 8.41 states/eV/cell. For the energy relative to the lowest polymorph listed for this composition, the calculation gives 625 meV per atom.

abc: 5.491 5.491 5.447
angles: 90.00 90.00 90.00
Space group P4/mmm (No. 123)
Unique sites:
V: 0.000 0.000 0.000
Te: 0.000 0.500 0.500
Au: 0.500 0.500 0.500
I: 0.500 0.500 0.000

***

The following is a DFT calculation (PBE) of a relaxed Te2WAuI crystal.

Output
The value obtained for the density is 7.843 g/cm3. The calculation puts the calculated total energy at -3.338 eV per atom. The formation energy without anion corrections comes out at 1.474 eV/atom. The value obtained for the density of states at the Fermi level is 5.82 states/eV/cell. For the energy relative to the lowest polymorph listed for this composition, the calculation gives 693 meV per atom.

abc: 5.482 5.482 5.374
angles: 90.00 90.00 90.00
Space group P4/mmm (No. 123)
Unique sites:
Te: 0.000 0.500 0.000
W: 0.000 0.000 0.500
Au: 0.500 0.500 0.000
I: 0.500 0.500 0.500

***

The following is a DFT calculation (PBE) of a relaxed Te2WAuI crystal.

Output
The value obtained for the density is 8.177 g/cm3. The calculation puts the calculated total energy at -4.032 eV per atom. The formation energy without anion corrections comes out at 0.781 eV/atom. The value obtained for the density of states at the Fermi level is 4.01 states/eV/cell. For the energy relative to the lowest polymorph listed for this composition, the calculation gives 0 meV per atom.

abc: 5.219 5.219 5.687
angles: 90.00 90.00 90.00
Space group P4/mmm (No. 123)
Unique sites:
Te: 0.000 0.500 0.000
W: 0.000 0.000 0.000
Au: 0.500 0.500 0.500
I: 0.000 0.000 0.500

***

The following is a DFT calculation (PBE) of a relaxed ZrTe2AuI crystal.

Output
The value obtained for the density is 6.966 g/cm3. The calculation puts the calculated total energy at -3.396 eV per atom. The formation energy without anion corrections comes out at 0.536 eV/atom. The value obtained for the density of states at the Fermi level is 6.05 states/eV/cell. For the energy relative to the lowest polymorph listed for this composition, the calculation gives 447 meV per atom.

abc: 5.464 5.464 5.351
angles: 90.00 90.00 90.00
Space group P4/mmm (No. 123)
Unique sites:
Zr: 0.000 0.000 0.000
Te: 0.000 0.500 0.500
Au: 0.500 0.500 0.500
I: 0.500 0.500 0.000

***

The following is a DFT calculation (PBE) of a relaxed ZrTe2AuI crystal.

Output
The value obtained for the density is 6.229 g/cm3. The calculation puts the calculated total energy at -3.843 eV per atom. The formation energy without anion corrections comes out at 0.089 eV/atom. The value obtained for the density of states at the Fermi level is 2.74 states/eV/cell. For the energy relative to the lowest polymorph listed for this composition, the calculation gives 0 meV per atom.

abc: 5.611 5.611 5.675
angles: 90.00 90.00 90.00
Space group P4/mmm (No. 123)
Unique sites:
Zr: 0.000 0.000 0.000
Te: 0.000 0.500 0.000
Au: 0.500 0.500 0.500
I: 0.000 0.000 0.500

***

The following is a DFT calculation (PBE) of a relaxed ThAu2I6 crystal.

Output
The value obtained for the density is 4.884 g/cm3. The calculation puts the calculated total energy at -3.271 eV per atom. The formation energy without anion corrections comes out at -0.684 eV/atom. The value obtained for the density of states at the Fermi level is 0.00 states/eV/cell.

abc: 15.427 16.098 7.695
angles: 90.00 99.12 90.00
Space group C2/c (No. 15)
Unique sites:
Th: 0.000 0.088 0.250
Au: 0.100 0.499 0.289
I: 0.112 0.392 0.545
I: 0.114 0.062 0.620
I: 0.125 0.207 0.140

***

The following is a DFT calculation (PBE) of a relaxed ThAuI crystal.

Output
The value obtained for the density is 8.713 g/cm3. The calculation puts the calculated total energy at -4.879 eV per atom. The formation energy without anion corrections comes out at -0.797 eV/atom. The value obtained for the density of states at the Fermi level is 3.37 states/eV/cell.

abc: 3.846 4.493 12.400
angles: 89.81 81.40 90.00
Space group P-1 (No. 2)
Unique sites:
Th: 0.076 0.251 0.350
Au: 0.461 0.249 0.573
I: 0.324 0.747 0.856

***

The following is a DFT calculation (PBE) of a relaxed ThAu2I8 crystal.

Output
The value obtained for the density is 4.877 g/cm3. The calculation puts the calculated total energy at -2.886 eV per atom. The formation energy without anion corrections comes out at -0.488 eV/atom. The value obtained for the density of states at the Fermi level is 14.86 states/eV/cell.

abc: 12.973 9.954 8.666
angles: 90.00 93.04 90.00
Space group C2/m (No. 12)
Unique sites:
Th: 0.000 0.000 0.000
Au: 0.212 0.000 0.779
I: 0.066 0.206 0.751
I: 0.097 0.500 0.299
I: 0.216 0.000 0.146

***

The following is a DFT calculation (PBE) of a relaxed TiAu2I6 crystal.

Output
The value obtained for the density is 4.710 g/cm3. The calculation puts the calculated total energy at -3.053 eV per atom. The formation energy without anion corrections comes out at -0.414 eV/atom.

abc: 15.171 16.351 6.901
angles: 90.00 97.58 90.00
Space group C2/c (No. 15)
Unique sites:
Ti: 0.000 0.083 0.250
Au: 0.103 0.500 0.286
I: 0.102 0.054 0.605
I: 0.114 0.186 0.140
I: 0.114 0.381 0.540

***

The following is a DFT calculation (PBE) of a relaxed TiAuI crystal.

Output
The value obtained for the density is 8.349 g/cm3. The calculation puts the calculated total energy at -4.278 eV per atom. The formation energy without anion corrections comes out at -0.037 eV/atom. The value obtained for the density of states at the Fermi level is 10.93 states/eV/cell.

abc: 14.114 3.480 6.021
angles: 90.00 90.00 90.00
Space group Amm2 (No. 38)
Unique sites:
Ti: 0.133 0.000 0.000
Au: 0.000 0.000 0.667
Au: 0.500 0.000 0.813
I: 0.269 0.000 0.667